1.
Compound: LaAl2Pt
Source: Alexandria
Functional: PBE
Structure: relaxed

Computed properties:
- Energy of formation from the pure elements: -880 meV per atom
- Spin magnetization: 0.00 μB/f.u.
- Mass density: 7.4 Mg/m³
- Space-group type: R-3m
- DOS(E_F): 0.949 states/eV/atom

Cell and atoms, written as POSCAR:
```
LaAl2Pt
1.0
-3.005 4.401 -2.830
-4.467 0.555 -4.017
-5.611 2.206 -0.235
Al Pt La
2 1 1
direct
0.044 0.044 0.044
0.456 0.456 0.456
0.750 0.750 0.750
0.250 0.250 0.250
```

2.
Compound: ZnRe3
Source: Alexandria
Functional: PBE
Structure: relaxed

Computed properties:
- Energy of formation from the pure elements: 235 meV per atom
- Spin magnetization: 0.00 μB/f.u.
- Mass density: 17.6 Mg/m³
- Space-group type: Imm2
- DOS(E_F): 0.674 states/eV/atom

Cell and atoms, written as POSCAR:
```
ZnRe3
1.0
-2.495 2.778 -3.539
-1.409 -2.740 0.189
-3.586 1.943 1.419
Re Zn
3 1
direct
0.003 0.001 0.918
0.500 0.750 0.664
0.997 0.499 0.421
0.500 0.250 0.164
```